*w*
An optimized crystal structure of SrV3Pb. Source: Alexandria, functional PBE-GGA.

Structure (CIF):
```
data_SrV3Pb
_cell_length_a 4.7155
_cell_length_b 4.7155
_cell_length_c 4.7155
_cell_angle_alpha 90.00
_cell_angle_beta 90.00
_cell_angle_gamma 90.00
_space_group_name_H-M_alt 'P m -3 m'
_space_group_IT_number 221
_space_group_name_Hall '-P 4 2 3'
loop_
_atom_site_label
_atom_site_type_symbol
_atom_site_fract_x
_atom_site_fract_y
_atom_site_fract_z
Sr1 Sr 0.0000 0.0000 0.0000
V1 V 0.0000 0.0000 0.5000
Pb1 Pb 0.5000 0.5000 0.5000
```



*x*
An optimized crystal structure of SrV3Pb. Source: Alexandria, functional PBE-GGA.

Structure (CIF):
```
data_SrV3Pb
_cell_length_a 5.3204
_cell_length_b 5.3204
_cell_length_c 5.3204
_cell_angle_alpha 90.00
_cell_angle_beta 90.00
_cell_angle_gamma 90.00
_space_group_name_H-M_alt 'P m -3 m'
_space_group_IT_number 221
_space_group_name_Hall '-P 4 2 3'
loop_
_atom_site_label
_atom_site_type_symbol
_atom_site_fract_x
_atom_site_fract_y
_atom_site_fract_z
Sr1 Sr 0.0000 0.0000 0.0000
V1 V 0.0000 0.5000 0.5000
Pb1 Pb 0.5000 0.5000 0.5000
```



Most stable of them? *x*.



*w*
An optimized crystal structure of SrPbW3. Source: Alexandria, functional PBE-GGA.

Structure (CIF):
```
data_SrPbW3
_cell_length_a 5.1339
_cell_length_b 5.1339
_cell_length_c 5.1339
_cell_angle_alpha 90.00
_cell_angle_beta 90.00
_cell_angle_gamma 90.00
_space_group_name_H-M_alt 'P m -3 m'
_space_group_IT_number 221
_space_group_name_Hall '-P 4 2 3'
loop_
_atom_site_label
_atom_site_type_symbol
_atom_site_fract_x
_atom_site_fract_y
_atom_site_fract_z
Sr1 Sr 0.0000 0.0000 0.0000
Pb1 Pb 0.5000 0.5000 0.5000
W1 W 0.0000 0.5000 0.5000
```



*x*
An optimized crystal structure of SrPbW3. Source: Alexandria, functional PBE-GGA.

Structure (CIF):
```
data_SrPbW3
_cell_length_a 4.9187
_cell_length_b 4.9187
_cell_length_c 4.9187
_cell_angle_alpha 90.00
_cell_angle_beta 90.00
_cell_angle_gamma 90.00
_space_group_name_H-M_alt 'P m -3 m'
_space_group_IT_number 221
_space_group_name_Hall '-P 4 2 3'
loop_
_atom_site_label
_atom_site_type_symbol
_atom_site_fract_x
_atom_site_fract_y
_atom_site_fract_z
Sr1 Sr 0.0000 0.0000 0.0000
Pb1 Pb 0.5000 0.5000 0.5000
W1 W 0.0000 0.0000 0.5000
```



Most stable of them? *w*.



*w*
An optimized crystal structure of SrPbW. Source: Alexandria, functional PBE-GGA.

Structure (CIF):
```
data_SrPbW
_cell_length_a 3.3156
_cell_length_b 3.3156
_cell_length_c 7.9421
_cell_angle_alpha 90.00
_cell_angle_beta 90.00
_cell_angle_gamma 120.00
_space_group_name_H-M_alt 'P 3 m 1'
_space_group_IT_number 156
loop_
_space_group_symop_operation_xyz
'x,y,z'
'-y,x-y,z'
'-x+y,-x,z'
'-y,-x,z'
'-x+y,y,z'
'x,x-y,z'
loop_
_atom_site_label
_atom_site_type_symbol
_atom_site_fract_x
_atom_site_fract_y
_atom_site_fract_z
Sr1 Sr 0.0000 0.0000 0.0000
Pb1 Pb 0.3333 0.6667 0.6162
W1 W 0.6667 0.3333 0.3257
```



*x*
An optimized crystal structure of SrPbW. Source: Alexandria, functional PBE-GGA.

Structure (CIF):
```
data_SrPbW
_cell_length_a 3.1685
_cell_length_b 3.1685
_cell_length_c 14.9821
_cell_angle_alpha 90.00
_cell_angle_beta 90.00
_cell_angle_gamma 90.00
_space_group_name_H-M_alt 'I 4 m m'
_space_group_IT_number 107
_space_group_name_Hall 'I 4 -2'
loop_
_atom_site_label
_atom_site_type_symbol
_atom_site_fract_x
_atom_site_fract_y
_atom_site_fract_z
Sr1 Sr 0.0000 0.0000 0.0000
Pb1 Pb 0.0000 0.0000 0.3071
W1 W 0.0000 0.0000 0.6660
```



Most stable of them? *x*.



*w*
An optimized crystal structure of SrPbW. Source: Alexandria, functional PBE-GGA.

Structure (CIF):
```
data_SrPbW
_cell_length_a 4.1215
_cell_length_b 4.8832
_cell_length_c 15.0004
_cell_angle_alpha 90.00
_cell_angle_beta 90.00
_cell_angle_gamma 90.00
_space_group_name_H-M_alt 'F m m 2'
_space_group_IT_number 42
_space_group_name_Hall 'F 2 -2'
loop_
_atom_site_label
_atom_site_type_symbol
_atom_site_fract_x
_atom_site_fract_y
_atom_site_fract_z
Sr1 Sr 0.0000 0.0000 0.0000
Pb1 Pb 0.0000 0.0000 0.3061
W1 W 0.0000 0.0000 0.6666
```



*x*
An optimized crystal structure of SrPbW. Source: Alexandria, functional PBE-GGA.

Structure (CIF):
```
data_SrPbW
_cell_length_a 3.7489
_cell_length_b 3.7489
_cell_length_c 11.5913
_cell_angle_alpha 90.00
_cell_angle_beta 90.00
_cell_angle_gamma 90.00
_space_group_name_H-M_alt 'I 4 m m'
_space_group_IT_number 107
_space_group_name_Hall 'I 4 -2'
loop_
_atom_site_label
_atom_site_type_symbol
_atom_site_fract_x
_atom_site_fract_y
_atom_site_fract_z
Sr1 Sr 0.0000 0.0000 0.0000
Pb1 Pb 0.0000 0.0000 0.7137
W1 W 0.0000 0.0000 0.2982
```



*y*
An optimized crystal structure of SrPbW. Source: Alexandria, functional PBE-GGA.

Structure (CIF):
```
data_SrPbW
_cell_length_a 5.2609
_cell_length_b 5.2609
_cell_length_c 3.2033
_cell_angle_alpha 90.00
_cell_angle_beta 90.00
_cell_angle_gamma 120.00
_space_group_name_H-M_alt 'P -6 m 2'
_space_group_IT_number 187
_space_group_name_Hall 'P -6 2'
loop_
_atom_site_label
_atom_site_type_symbol
_atom_site_fract_x
_atom_site_fract_y
_atom_site_fract_z
Sr1 Sr 0.0000 0.0000 0.0000
Pb1 Pb 0.3333 0.6667 0.5000
W1 W 0.6667 0.3333 0.5000
```



Most stable of them? *x*.



*w*
An optimized crystal structure of Sr2Y2Pb. Source: Alexandria, functional PBE-GGA.

Structure (CIF):
```
data_Sr2Y2Pb
_cell_length_a 4.5957
_cell_length_b 4.5957
_cell_length_c 18.0447
_cell_angle_alpha 90.00
_cell_angle_beta 90.00
_cell_angle_gamma 90.00
_space_group_name_H-M_alt 'I 4/m m m'
_space_group_IT_number 139
_space_group_name_Hall '-I 4 2'
loop_
_atom_site_label
_atom_site_type_symbol
_atom_site_fract_x
_atom_site_fract_y
_atom_site_fract_z
Sr1 Sr 0.0000 0.5000 0.2500
Y1 Y 0.0000 0.0000 0.0815
Pb1 Pb 0.0000 0.0000 0.5000
```



*x*
An optimized crystal structure of Sr2Y2Pb. Source: Alexandria, functional PBE-GGA.

Structure (CIF):
```
data_Sr2Y2Pb
_cell_length_a 8.2303
_cell_length_b 8.2303
_cell_length_c 5.8344
_cell_angle_alpha 90.00
_cell_angle_beta 90.00
_cell_angle_gamma 90.00
_space_group_name_H-M_alt 'P 4/m b m'
_space_group_IT_number 127
_space_group_name_Hall '-P 4 2ab'
loop_
_atom_site_label
_atom_site_type_symbol
_atom_site_fract_x
_atom_site_fract_y
_atom_site_fract_z
Sr1 Sr 0.1644 0.3356 0.0000
Y1 Y 0.1498 0.6498 0.5000
Pb1 Pb 0.0000 0.0000 0.5000
```



Most stable of them? *x*.